DFT (GGA-PBEsol) results for a geometry-optimized TmB12 structure.

Summary:
As for the total magnetization: 0.00 μB/atom. The formation energy is -356 kJ/mol of formula units. As for the total energy: -7.14 eV/atom.

Unit cell a=5.255 b=5.255 c=5.255 alpha=60.00 beta=60.00 gamma=60.00
Fractional coordinates of all 13 atoms:
Tm1 0.000 0.000 0.000
B1 0.162 0.500 0.500
B2 0.162 0.500 0.838
B3 0.162 0.838 0.500
B4 0.500 0.162 0.500
B5 0.500 0.162 0.838
B6 0.500 0.500 0.162
B7 0.500 0.500 0.838
B8 0.500 0.838 0.162
B9 0.500 0.838 0.500
B10 0.838 0.162 0.500
B11 0.838 0.500 0.162
B12 0.838 0.500 0.500